1.
The following is a DFT calculation (PBE) of crystalline NaTlHg3 at its relaxed geometry.

E in eV per atom: -0.781
V in Å³/atom: 39.2
Relative energy among the computed polymorphs in eV/f.u.: 1.389
Space-group type: Pm-3m (221)
Formation energy from the elements in meV/atom: 137

Cell lengths 5.8100, 5.8100, 5.8100 Å; angles 90.00, 90.00, 90.00 degrees
Element x y z (fractional)
Hg: 0.5000 0.0000 0.0000
Na: 0.5000 0.5000 0.5000
Hg: 0.0000 0.0000 0.5000
Tl: 0.0000 0.0000 0.0000
Hg: 0.0000 0.5000 0.0000

2.
The following is a DFT calculation (PBE) of crystalline Na3Tl2Hg8 at its relaxed geometry.

E in eV per atom: -0.927
V in Å³/atom: 29.1
Relative energy among the computed polymorphs in eV/f.u.: 0.742
Space-group type: R-3m (166)
Formation energy from the elements in meV/atom: -73

Cell lengths 6.1407, 6.1407, 12.0993 Å; angles 75.30, 75.30, 60.00 degrees
Element x y z (fractional)
Hg: 0.7250 0.2246 0.3255
Hg: 0.7250 0.7250 0.3255
Hg: 0.2750 0.7754 0.6745
Hg: 0.7259 0.7259 0.8224
Na: 0.0000 0.0000 0.0000
Tl: 0.3604 0.3604 0.9189
Hg: 0.2246 0.7250 0.3255
Hg: 0.2741 0.2741 0.1776
Na: 0.1858 0.1858 0.4427
Hg: 0.7754 0.2750 0.6745
Hg: 0.2750 0.2750 0.6745
Tl: 0.6396 0.6396 0.0811
Na: 0.8142 0.8142 0.5573

3.
The following is a DFT calculation (PBE) of crystalline Na2Tl5Hg6 at its relaxed geometry.

E in eV per atom: -1.341
V in Å³/atom: 28.1
Space-group type: P-1 (2)
Formation energy from the elements in meV/atom: -88

Cell lengths 9.2804, 8.0937, 11.6083 Å; angles 34.77, 47.35, 57.16 degrees
Element x y z (fractional)
Tl: 0.6102 0.7417 0.1727
Hg: 0.1576 0.6850 0.5472
Hg: 0.5619 0.9380 0.3763
Tl: 0.3898 0.2583 0.8273
Tl: 0.3074 0.3620 0.1015
Na: 0.9080 0.1079 0.2756
Na: 0.0920 0.8921 0.7244
Tl: 0.6926 0.6380 0.8985
Hg: 0.8424 0.3150 0.4528
Tl: 0.0000 0.0000 0.0000
Hg: 0.2235 0.5723 0.3048
Hg: 0.7765 0.4277 0.6952
Hg: 0.4381 0.0620 0.6237

4.
The following is a DFT calculation (PBE) of crystalline Na2Tl7Hg2 at its relaxed geometry.

E in eV per atom: -1.858
V in Å³/atom: 29.6
Relative energy among the computed polymorphs in eV/f.u.: 0.000
Space-group type: C2/m (12)
Formation energy from the elements in meV/atom: -57

Cell lengths 6.0759, 6.0759, 9.3826 Å; angles 91.82, 91.82, 109.58 degrees
Element x y z (fractional)
Tl: 0.5650 0.1802 0.1454
Hg: 0.7982 0.7982 0.6226
Tl: 0.1802 0.5650 0.1454
Tl: 0.4350 0.8198 0.8546
Hg: 0.2018 0.2018 0.3774
Tl: 0.7420 0.7420 0.2845
Na: 0.7325 0.2675 0.5000
Tl: 0.8198 0.4350 0.8546
Tl: 0.2580 0.2580 0.7155
Tl: 0.0000 0.0000 0.0000
Na: 0.2675 0.7325 0.5000

5.
The following is a DFT calculation (PBE) of crystalline Na8TlHg2 at its relaxed geometry.

E in eV per atom: -1.362
V in Å³/atom: 30.0
Relative energy among the computed polymorphs in eV/f.u.: 0.000
Space-group type: C2/m (12)
Formation energy from the elements in meV/atom: -132

Cell lengths 5.2479, 7.9721, 8.9501 Å; angles 111.86, 107.05, 90.00 degrees
Element x y z (fractional)
Na: 0.3849 0.5528 0.7699
Na: 0.6151 0.4472 0.2301
Na: 0.0324 0.7487 0.0647
Na: 0.3273 0.0849 0.6546
Na: 0.8376 0.7763 0.6753
Na: 0.6727 0.9151 0.3454
Hg: 0.7961 0.3332 0.5922
Hg: 0.2039 0.6668 0.4078
Na: 0.1624 0.2237 0.3247
Na: 0.9676 0.2513 0.9353
Tl: 0.5000 0.0000 0.0000

6.
The following is a DFT calculation (PBE) of crystalline NaTlHg3 at its relaxed geometry.

E in eV per atom: -1.059
V in Å³/atom: 26.6
Relative energy among the computed polymorphs in eV/f.u.: 0.000
Space-group type: P2_1/m (11)
Formation energy from the elements in meV/atom: -141

Cell lengths 5.4650, 5.6435, 8.9938 Å; angles 73.48, 90.00, 90.00 degrees
Element x y z (fractional)
Tl: 0.7500 0.1452 0.4070
Na: 0.7500 0.9285 0.8217
Na: 0.2500 0.0715 0.1783
Hg: 0.2500 0.6635 0.9960
Hg: 0.2500 0.2556 0.7982
Tl: 0.2500 0.8548 0.5930
Hg: 0.7500 0.5265 0.6222
Hg: 0.7500 0.3365 0.0040
Hg: 0.7500 0.7444 0.2018
Hg: 0.2500 0.4735 0.3778

7.
The following is a DFT calculation (PBE) of crystalline Na3TlHg at its relaxed geometry.

E in eV per atom: -1.195
V in Å³/atom: 42.3
Relative energy among the computed polymorphs in eV/f.u.: 1.237
Space-group type: Pm-3m (221)
Formation energy from the elements in meV/atom: 130

Cell lengths 5.9562, 5.9562, 5.9562 Å; angles 90.00, 90.00, 90.00 degrees
Element x y z (fractional)
Hg: 0.5000 0.5000 0.5000
Tl: 0.0000 0.0000 0.0000
Na: 0.0000 0.0000 0.5000
Na: 0.0000 0.5000 0.0000
Na: 0.5000 0.0000 0.0000

8.
The following is a DFT calculation (PBE) of crystalline Na12Tl2Hg at its relaxed geometry.

E in eV per atom: -1.355
V in Å³/atom: 36.1
Space-group type: P4/nbm (125)
Formation energy from the elements in meV/atom: 35

Cell lengths 6.7132, 6.7132, 24.0004 Å; angles 90.00, 90.00, 90.00 degrees
Element x y z (fractional)
Na: 0.2500 0.7500 0.9147
Na: 0.7500 0.7500 0.9147
Hg: 0.5000 0.0000 0.0000
Na: 0.0000 0.0000 0.6816
Tl: 0.0000 0.5000 0.7911
Na: 0.8205 0.6795 0.4327
Na: 0.5000 0.5000 0.1903
Na: 0.7500 0.2500 0.0853
Na: 0.5000 0.5000 0.3184
Na: 0.7500 0.7500 0.0853
Tl: 0.0000 0.5000 0.2089
Na: 0.7500 0.2500 0.9147
Na: 0.0000 0.0000 0.1903
Na: 0.3205 0.8205 0.4327
Tl: 0.5000 0.0000 0.7911
Na: 0.6795 0.1795 0.4327
Na: 0.2500 0.2500 0.9147
Na: 0.6795 0.8205 0.5673
Na: 0.0000 0.0000 0.8097
Na: 0.1795 0.3205 0.4327
Tl: 0.5000 0.0000 0.2089
Na: 0.0000 0.0000 0.3184
Na: 0.1795 0.6795 0.5673
Na: 0.2500 0.2500 0.0853
Na: 0.5000 0.5000 0.6816
Hg: 0.0000 0.5000 0.0000
Na: 0.5000 0.5000 0.8097
Na: 0.2500 0.7500 0.0853
Na: 0.3205 0.1795 0.5673
Na: 0.8205 0.3205 0.5673